VASP calculation (GGA-PBE) on BeGa2O4 after structural relaxation.

POSCAR file:
```
BeGa2O4
1.0
7.827 0.000 0.000
0.000 3.039 0.000
-3.851 0.000 6.828
Be Ga O
2 4 8
Direct
0.179 0.250 0.271 Be
0.821 0.750 0.729 Be
0.205 0.250 0.899 Ga
0.412 0.750 0.662 Ga
0.588 0.250 0.338 Ga
0.795 0.750 0.101 Ga
0.062 0.750 0.219 O
0.296 0.750 0.826 O
0.321 0.250 0.169 O
0.329 0.250 0.511 O
0.671 0.750 0.489 O
0.679 0.750 0.831 O
0.704 0.250 0.174 O
0.938 0.250 0.781 O
```

Summary:
The density of states at the Fermi level is 0.00 states/eV per cell. The volume is 162 Å³ per cell. The value obtained for the offset from the most stable computed form is 0.032 eV/atom.